Run 1
# In2PtW | the Alexandria database | PBE-GGA | relaxed
# Magnetic moment, μB per atom: 0.429
# Crystal system: cubic
# Fermi-level density of states, states/eV/atom: 0.500
data_In2PtW
_chemical_formula_sum 'In8 Pt4 W4'
_cell_length_a 6.7073
_cell_length_b 6.7073
_cell_length_c 6.7073
_cell_angle_alpha 90.00
_cell_angle_beta 90.00
_cell_angle_gamma 90.00
_space_group_name_H-M_alt 'F -4 3 m'
_space_group_IT_number 216
_space_group_name_Hall 'F -4 2 3'
loop_
_atom_site_label
_atom_site_fract_x
_atom_site_fract_y
_atom_site_fract_z
In1 0.0000 0.0000 0.0000
In2 0.2500 0.2500 0.2500
Pt1 0.0000 0.0000 0.5000
W1 0.2500 0.2500 0.7500

***

Run 2
# In2PtW | the Alexandria database | PBE-GGA | relaxed
# Magnetic moment, μB per atom: 0.092
# Crystal system: orthorhombic
# Fermi-level density of states, states/eV/atom: 0.725
data_In2PtW
_chemical_formula_sum 'In4 Pt2 W2'
_cell_length_a 3.0025
_cell_length_b 5.2098
_cell_length_c 9.5720
_cell_angle_alpha 90.00
_cell_angle_beta 90.00
_cell_angle_gamma 90.00
_space_group_name_H-M_alt 'I m m m'
_space_group_IT_number 71
_space_group_name_Hall '-I 2 2'
loop_
_atom_site_label
_atom_site_fract_x
_atom_site_fract_y
_atom_site_fract_z
In1 0.0000 0.0000 0.2399
Pt1 0.0000 0.5000 0.5000
W1 0.0000 0.5000 0.0000

***

Pick run 2: it beats the second-best structure by 17.3 kJ/mol of atoms.